Material: LiCa2MnO4
Method: DFT, PBE+U
State: relaxed

As for the total energy: -6.25 eV/atom. Its total magnetization is 0.250 μB/atom. As for the space-group type: P2/m, No. 10.

a = 3.2546 Å, b = 5.4601 Å, c = 5.3510 Å
α = 109.06°, β = 90.00°, γ = 90.00°
Positions (direct):
Li: 0.0000 0.0000 0.0000
Ca: 0.5000 0.0000 0.5000
Ca: 0.0000 0.5000 0.5000
Mn: 0.5000 0.5000 0.0000
O: 0.5000 0.2683 0.2211
O: 0.5000 0.7317 0.7789
O: 0.0000 0.2707 0.7845
O: 0.0000 0.7293 0.2155